No. 1
SiAs2PdBr | PBE | relaxed Values from VASP.

Results
- density (g/cm3) = 5.358
- ΔE_f (raw) (eV per atom) = 0.73
- Fermi-level density of states (states/eV/cell) = 4.48
- distance to the lowest polymorph of the same formula (meV per atom) = 0
- size of the total moment (μB per formula unit) = 0.00
- crystal system = tetragonal
- final energy (eV per atom) = -3.5879

```
&SYSTEM
  ibrav = 0, nat = 5, ntyp = 4
/
ATOMIC_SPECIES
Si 28.09 Si.upf
As 74.92 As.upf
Pd 106.42 Pd.upf
Br 79.90 Br.upf
ATOMIC_POSITIONS angstrom
Si 0.000 0.000 0.000
As 0.000 2.398 0.000
As 2.398 0.000 0.000
Pd 2.398 2.398 2.454
Br 0.000 0.000 2.454
CELL_PARAMETERS angstrom
4.796 0.000 0.000
0.000 4.796 0.000
0.000 0.000 4.908
```

No. 2
SnAs2PdBr | PBE | relaxed Values from VASP.

Results
- density (g/cm3) = 5.941
- ΔE_f (raw) (eV per atom) = 0.32
- Fermi-level density of states (states/eV/cell) = 4.91
- distance to the lowest polymorph of the same formula (meV per atom) = 0
- size of the total moment (μB per formula unit) = 1.06
- crystal system = tetragonal
- final energy (eV per atom) = -3.7151

```
&SYSTEM
  ibrav = 0, nat = 5, ntyp = 4
/
ATOMIC_SPECIES
Sn 118.71 Sn.upf
As 74.92 As.upf
Pd 106.42 Pd.upf
Br 79.90 Br.upf
ATOMIC_POSITIONS angstrom
Sn 0.000 0.000 0.000
As 0.000 2.453 2.642
As 2.453 0.000 2.642
Pd 2.453 2.453 2.642
Br 2.453 2.453 0.000
CELL_PARAMETERS angstrom
4.905 0.000 0.000
0.000 4.905 0.000
0.000 0.000 5.284
```

No. 3
SrAsPdBr2 | PBE | relaxed Values from VASP.

Results
- density (g/cm3) = 5.166
- ΔE_f (raw) (eV per atom) = -0.64
- Fermi-level density of states (states/eV/cell) = 3.64
- distance to the lowest polymorph of the same formula (meV per atom) = 0
- size of the total moment (μB per formula unit) = 0.74
- crystal system = tetragonal
- final energy (eV per atom) = -3.6095

```
&SYSTEM
  ibrav = 0, nat = 5, ntyp = 4
/
ATOMIC_SPECIES
Sr 87.62 Sr.upf
As 74.92 As.upf
Pd 106.42 Pd.upf
Br 79.90 Br.upf
ATOMIC_POSITIONS angstrom
Sr 0.000 0.000 0.000
As 2.624 2.624 0.000
Pd 2.624 2.624 2.503
Br 0.000 2.624 2.503
Br 2.624 0.000 2.503
CELL_PARAMETERS angstrom
5.247 0.000 0.000
0.000 5.247 0.000
0.000 0.000 5.005
```